VASP calculation (PBE-GGA) on crystalline Rb2MgF7 at its relaxed geometry.

Structure (CIF):
```
data_Rb2MgF7
_chemical_formula_sum 'Rb4 Mg2 F14'
_symmetry_space_group_name_H-M 'I 4/m m m'
_symmetry_Int_Tables_number 139
_symmetry_space_group_name_Hall '-I 4 2'
_cell_length_a 5.886
_cell_length_b 5.886
_cell_length_c 9.613
_cell_angle_alpha 90.00
_cell_angle_beta 90.00
_cell_angle_gamma 90.00
loop_
_atom_site_label
_atom_site_fract_x
_atom_site_fract_y
_atom_site_fract_z
Rb1 0.000 0.500 0.250
Mg1 0.000 0.000 0.000
F1 0.000 0.000 0.201
F2 0.000 0.000 0.500
F3 0.241 0.241 0.000
```

Summary:
Size of the total moment ... 3.00 μB per formula unit
Formation energy (no corrections) ... -1972 kJ/mol of formula units